A geometry-optimized InRhCl2 structure. Source: Alexandria via LeMat-Bulk, functional PBE.

Cell lengths 3.355, 3.356, 7.612 Å; angles 90.00, 90.00, 90.00 degrees
Each line ends with the local moment (μB).
Positions (direct):
Rh1 0.500 0.500 0.750  1.65
Cl1 0.000 0.000 0.953  0.14
Cl2 0.000 0.000 0.547  0.14
In1 0.500 0.500 0.250  0.00

- N(E_F) (states/eV/f.u.) = 3.49
- E_tot (eV/atom) = -3.379
- volume (Å³ per atom) = 21.427
- uncorrected formation energy (eV/atom) = 0.067